(1)
## LaGdCd2Au4 (PBE-GGA)

Data for a geometry-optimized LaGdCd2Au4 structure.

Unit cell a=5.036 b=5.036 c=7.104 alpha=90.00 beta=90.00 gamma=90.00
Space group P4/mmm (No. 123)
Asymmetric unit:
La1 0.000 0.000 0.000
Gd1 0.500 0.500 0.500
Cd1 0.000 0.000 0.500
Cd2 0.500 0.500 0.000
Au1 0.000 0.500 0.262

Properties
* size of the total moment: 0.00 μB per atom
* energy: -29.81 eV per cell
* ΔE_f: -0.672 eV per atom

=====

(2)
## LiGdCd2Au4 (PBE-GGA)

Data for a geometry-optimized LiGdCd2Au4 structure.

Unit cell a=4.857 b=4.857 c=6.769 alpha=90.00 beta=90.00 gamma=90.00
Space group P4/mmm (No. 123)
Asymmetric unit:
Li1 0.000 0.000 0.000
Gd1 0.500 0.500 0.500
Cd1 0.000 0.000 0.500
Cd2 0.500 0.500 0.000
Au1 0.000 0.500 0.231

Properties
* size of the total moment: 0.00 μB per atom
* energy: -25.55 eV per cell

=====

(3)
## Gd3Mg2CdPt2Au (PBE-GGA)

Data for a geometry-optimized Gd3Mg2CdPt2Au structure.

Unit cell a=4.018 b=13.070 c=7.626 alpha=90.00 beta=90.00 gamma=90.00
Space group Amm2 (No. 38)
Asymmetric unit:
Gd1 0.000 0.000 0.000
Gd2 0.000 0.203 0.369
Mg1 0.500 0.126 0.705
Cd1 0.500 0.000 0.326
Pt1 0.500 0.171 0.070
Au1 0.000 0.000 0.596

Properties
* size of the total moment: 0.00 μB per atom
* energy: -82.13 eV per cell

=====

(4)
## NdGdCd2Au4 (PBE-GGA)

Data for a geometry-optimized NdGdCd2Au4 structure.

Unit cell a=4.992 b=4.992 c=7.054 alpha=90.00 beta=90.00 gamma=90.00
Space group P4/mmm (No. 123)
Asymmetric unit:
Nd1 0.000 0.000 0.000
Gd1 0.500 0.500 0.500
Cd1 0.000 0.000 0.500
Cd2 0.500 0.500 0.000
Au1 0.000 0.500 0.258

Properties
* size of the total moment: 0.00 μB per atom
* energy: -29.57 eV per cell
* ΔE_f: -0.663 eV per atom

=====

Look up the size of the total moment of the fourth one.
0.00 μB per atom

=====

Among the records above, which one has the lowest energy?
Gd3Mg2CdPt2Au

=====

Repeat the fourth record exactly.
## NdGdCd2Au4 (PBE-GGA)

Data for a geometry-optimized NdGdCd2Au4 structure.

Unit cell a=4.992 b=4.992 c=7.054 alpha=90.00 beta=90.00 gamma=90.00
Space group P4/mmm (No. 123)
Asymmetric unit:
Nd1 0.000 0.000 0.000
Gd1 0.500 0.500 0.500
Cd1 0.000 0.000 0.500
Cd2 0.500 0.500 0.000
Au1 0.000 0.500 0.258

Properties
* size of the total moment: 0.00 μB per atom
* energy: -29.57 eV per cell
* ΔE_f: -0.663 eV per atom